1.
First-principles (PBE) data for SiP2Ir after structural relaxation, as listed in Alexandria via LeMat-Bulk.

a = 2.883 Å, b = 3.250 Å, c = 6.767 Å
α = 90.00°, β = 90.00°, γ = 90.00°
Positions (direct):
Si 0.000 0.000 0.000
P 0.000 0.000 0.429
P 0.500 0.500 0.838
Ir 0.500 0.500 0.231

volume	63.4	Å³ per cell
size of the total moment	0.00	μB per atom
energy relative to the elements, uncorrected	0.1656	eV per atom
energy above the most stable polymorph in this dataset	1.64	eV per formula unit
density of states at the Fermi level	0.370	states/eV per atom

***

2.
First-principles (PBE) data for SiPIr after structural relaxation, as listed in Alexandria via LeMat-Bulk.

a = 3.527 Å, b = 3.527 Å, c = 4.861 Å
α = 90.00°, β = 90.00°, γ = 120.00°
Positions (direct):
Si 0.000 0.000 0.000
P 0.000 0.000 0.528
Ir 0.333 0.667 0.276

volume	52.4	Å³ per cell
size of the total moment	0.00	μB per atom
energy relative to the elements, uncorrected	-0.2574	eV per atom
density of states at the Fermi level	0.554	states/eV per atom

***

3.
First-principles (PBE) data for SiP4Ir after structural relaxation, as listed in Alexandria via LeMat-Bulk.

a = 5.018 Å, b = 5.018 Å, c = 5.018 Å
α = 60.00°, β = 60.00°, γ = 60.00°
Positions (direct):
Si 0.000 0.000 0.000
P 0.371 0.371 0.371
P 0.371 0.371 0.888
P 0.371 0.888 0.371
P 0.888 0.371 0.371
Ir 0.750 0.750 0.750

volume	89.4	Å³ per cell
size of the total moment	0.00	μB per atom
energy relative to the elements, uncorrected	0.9339	eV per atom
density of states at the Fermi level	1.038	states/eV per atom

***

4.
First-principles (PBE) data for SiP2Ir after structural relaxation, as listed in Alexandria via LeMat-Bulk.

a = 4.477 Å, b = 4.477 Å, c = 4.477 Å
α = 126.50°, β = 126.50°, γ = 79.07°
Positions (direct):
Si 0.000 0.000 0.000
P 0.500 0.500 0.000
P 0.750 0.250 0.500
Ir 0.250 0.750 0.500

volume	56.1	Å³ per cell
size of the total moment	0.00	μB per atom
energy relative to the elements, uncorrected	0.3371	eV per atom
energy above the most stable polymorph in this dataset	2.32	eV per formula unit
density of states at the Fermi level	0.355	states/eV per atom

***

5.
First-principles (PBE) data for SiP2Ir after structural relaxation, as listed in Alexandria via LeMat-Bulk.

a = 6.469 Å, b = 6.469 Å, c = 6.469 Å
α = 132.09°, β = 132.09°, γ = 70.08°
Positions (direct):
Si 0.000 0.000 0.000
Si 0.750 0.250 0.500
P 0.126 0.625 0.001
P 0.375 0.376 0.501
P 0.624 0.125 0.999
P 0.875 0.874 0.499
Ir 0.250 0.750 0.500
Ir 0.500 0.500 0.000

volume	146.1	Å³ per cell
size of the total moment	0.00	μB per atom
energy relative to the elements, uncorrected	-0.2433	eV per atom
energy above the most stable polymorph in this dataset	0.00	eV per formula unit
density of states at the Fermi level	0.407	states/eV per atom

***

6.
First-principles (PBE) data for SiP2Ir after structural relaxation, as listed in Alexandria via LeMat-Bulk.

a = 2.698 Å, b = 4.487 Å, c = 4.666 Å
α = 90.00°, β = 90.00°, γ = 90.00°
Positions (direct):
Si 0.000 0.000 0.000
P 0.000 0.500 0.500
P 0.500 0.000 0.500
Ir 0.500 0.500 0.000

volume	56.5	Å³ per cell
size of the total moment	0.00	μB per atom
energy relative to the elements, uncorrected	0.3988	eV per atom
energy above the most stable polymorph in this dataset	2.57	eV per formula unit
density of states at the Fermi level	0.532	states/eV per atom

***

7.
First-principles (PBE) data for SiPIr after structural relaxation, as listed in Alexandria via LeMat-Bulk.

a = 4.458 Å, b = 4.458 Å, c = 4.458 Å
α = 141.89°, β = 127.86°, γ = 66.39°
Positions (direct):
Si 0.000 0.000 0.000
P 0.677 0.677 0.000
Ir 0.349 0.349 0.000

volume	42.6	Å³ per cell
size of the total moment	0.00	μB per atom
energy relative to the elements, uncorrected	0.1560	eV per atom
density of states at the Fermi level	0.346	states/eV per atom

***

8.
First-principles (PBE) data for SiP2Ir2 after structural relaxation, as listed in Alexandria via LeMat-Bulk.

a = 4.031 Å, b = 4.031 Å, c = 9.967 Å
α = 90.00°, β = 90.00°, γ = 90.00°
Positions (direct):
Si 0.250 0.250 0.191
Si 0.750 0.750 0.809
P 0.250 0.250 0.856
P 0.250 0.750 0.500
P 0.750 0.250 0.500
P 0.750 0.750 0.144
Ir 0.250 0.250 0.619
Ir 0.250 0.750 0.000
Ir 0.750 0.250 0.000
Ir 0.750 0.750 0.381

volume	162.0	Å³ per cell
size of the total moment	0.00	μB per atom
energy relative to the elements, uncorrected	-0.0194	eV per atom
energy above the most stable polymorph in this dataset	0.00	eV per formula unit
density of states at the Fermi level	0.465	states/eV per atom

***

9.
First-principles (PBE) data for SiPIr after structural relaxation, as listed in Alexandria via LeMat-Bulk.

a = 3.119 Å, b = 3.119 Å, c = 5.107 Å
α = 90.00°, β = 90.00°, γ = 120.00°
Positions (direct):
Si 0.000 0.000 0.000
P 0.333 0.667 0.672
Ir 0.667 0.333 0.340

volume	43.0	Å³ per cell
size of the total moment	0.00	μB per atom
energy relative to the elements, uncorrected	-0.1174	eV per atom
density of states at the Fermi level	0.421	states/eV per atom

***

10.
First-principles (PBE) data for SiP2Ir after structural relaxation, as listed in Alexandria via LeMat-Bulk.

a = 4.373 Å, b = 4.373 Å, c = 2.990 Å
α = 90.00°, β = 90.00°, γ = 101.63°
Positions (direct):
Si 0.000 0.000 0.000
P 0.000 0.500 0.500
P 0.500 0.000 0.500
Ir 0.500 0.500 0.000

volume	56.0	Å³ per cell
size of the total moment	0.00	μB per atom
energy relative to the elements, uncorrected	0.3609	eV per atom
energy above the most stable polymorph in this dataset	2.42	eV per formula unit
density of states at the Fermi level	0.460	states/eV per atom

***

11.
First-principles (PBE) data for SiPIr3 after structural relaxation, as listed in Alexandria via LeMat-Bulk.

a = 4.426 Å, b = 4.426 Å, c = 4.426 Å
α = 90.00°, β = 90.00°, γ = 90.00°
Positions (direct):
Si 0.000 0.000 0.000
P 0.500 0.500 0.500
Ir 0.000 0.500 0.500
Ir 0.500 0.000 0.500
Ir 0.500 0.500 0.000

volume	86.7	Å³ per cell
size of the total moment	0.00	μB per atom
energy relative to the elements, uncorrected	0.7388	eV per atom
energy above the most stable polymorph in this dataset	0.00	eV per formula unit
density of states at the Fermi level	0.546	states/eV per atom

***

12.
First-principles (PBE) data for SiPIr after structural relaxation, as listed in Alexandria via LeMat-Bulk.

a = 3.523 Å, b = 4.387 Å, c = 4.387 Å
α = 48.19°, β = 90.00°, γ = 90.00°
Positions (direct):
Si 0.000 0.000 0.000
P 0.500 0.811 0.811
Ir 0.500 0.523 0.523

volume	50.5	Å³ per cell
size of the total moment	0.00	μB per atom
energy relative to the elements, uncorrected	-0.1222	eV per atom
density of states at the Fermi level	0.221	states/eV per atom

***

13.
First-principles (PBE) data for SiPIr after structural relaxation, as listed in Alexandria via LeMat-Bulk.

a = 3.920 Å, b = 3.920 Å, c = 5.522 Å
α = 119.19°, β = 119.19°, γ = 43.17°
Positions (direct):
Si 0.000 0.000 0.000
P 0.214 0.214 0.481
Ir 0.612 0.612 0.737

volume	49.4	Å³ per cell
size of the total moment	0.00	μB per atom
energy relative to the elements, uncorrected	-0.3549	eV per atom
density of states at the Fermi level	0.251	states/eV per atom

***

14.
First-principles (PBE) data for SiP2Ir after structural relaxation, as listed in Alexandria via LeMat-Bulk.

a = 2.786 Å, b = 2.786 Å, c = 9.239 Å
α = 90.00°, β = 90.00°, γ = 120.86°
Positions (direct):
Si 0.000 0.000 0.000
P 0.000 0.000 0.448
P 0.500 0.500 0.768
Ir 0.500 0.500 0.231

volume	61.5	Å³ per cell
size of the total moment	0.00	μB per atom
energy relative to the elements, uncorrected	0.3648	eV per atom
energy above the most stable polymorph in this dataset	2.43	eV per formula unit
density of states at the Fermi level	0.431	states/eV per atom